1.
# Si2Tc2Te | the Alexandria database | PBE-GGA | optimized geometry
data_Si2Tc2Te
_symmetry_space_group_name_H-M 'P 1'
_symmetry_Int_Tables_number 1
_symmetry_space_group_name_Hall 'P 1'
_cell_length_a 7.263
_cell_length_b 7.263
_cell_length_c 3.006
_cell_angle_alpha 90.00
_cell_angle_beta 90.00
_cell_angle_gamma 90.00
loop_
_atom_site_label
_atom_site_fract_x
_atom_site_fract_y
_atom_site_fract_z
_atom_site_occupancy
Si1 0.131 0.369 0.000 1
Si2 0.369 0.869 0.000 1
Si3 0.631 0.131 0.000 1
Si4 0.869 0.631 0.000 1
Tc1 0.154 0.654 0.500 1
Tc2 0.346 0.154 0.500 1
Tc3 0.654 0.846 0.500 1
Tc4 0.846 0.346 0.500 1
Te1 0.000 0.000 0.500 1
Te2 0.500 0.500 0.500 1
# * SG: No. 127
# * DOS at the Fermi energy: 4.1 states/eV/f.u.
# * E_form (uncorrected): -0.26 eV/f.u.



2.
# SiTcTe | the Alexandria database | PBE-GGA | optimized geometry
data_SiTcTe
_symmetry_space_group_name_H-M 'P 1'
_symmetry_Int_Tables_number 1
_symmetry_space_group_name_Hall 'P 1'
_cell_length_a 6.403
_cell_length_b 6.403
_cell_length_c 3.263
_cell_angle_alpha 104.64
_cell_angle_beta 104.64
_cell_angle_gamma 28.48
loop_
_atom_site_label
_atom_site_fract_x
_atom_site_fract_y
_atom_site_fract_z
_atom_site_occupancy
Si1 0.000 0.000 0.000 1
Tc1 0.424 0.424 0.424 1
Te1 0.742 0.742 0.242 1
# * SG: No. 8
# * DOS at the Fermi energy: 1.7 states/eV/f.u.
# * E_form (uncorrected): 0.28 eV/f.u.



3.
# SiTcTe2 | the Alexandria database | PBE-GGA | optimized geometry
data_SiTcTe2
_symmetry_space_group_name_H-M 'P 1'
_symmetry_Int_Tables_number 1
_symmetry_space_group_name_Hall 'P 1'
_cell_length_a 5.758
_cell_length_b 5.758
_cell_length_c 4.139
_cell_angle_alpha 90.00
_cell_angle_beta 90.00
_cell_angle_gamma 131.76
loop_
_atom_site_label
_atom_site_fract_x
_atom_site_fract_y
_atom_site_fract_z
_atom_site_occupancy
Si1 0.000 0.000 0.000 1
Tc1 0.500 0.500 0.000 1
Te1 0.337 0.663 0.500 1
Te2 0.663 0.337 0.500 1
# * SG: No. 65
# * DOS at the Fermi energy: 0.9 states/eV/f.u.
# * E_form (uncorrected): 0.51 eV/f.u.



4.
# SiTcTe3 | the Alexandria database | PBE-GGA | optimized geometry
data_SiTcTe3
_symmetry_space_group_name_H-M 'P 1'
_symmetry_Int_Tables_number 1
_symmetry_space_group_name_Hall 'P 1'
_cell_length_a 5.069
_cell_length_b 5.069
_cell_length_c 5.069
_cell_angle_alpha 90.00
_cell_angle_beta 90.00
_cell_angle_gamma 90.00
loop_
_atom_site_label
_atom_site_fract_x
_atom_site_fract_y
_atom_site_fract_z
_atom_site_occupancy
Si1 0.000 0.000 0.000 1
Tc1 0.500 0.500 0.500 1
Te1 0.000 0.000 0.500 1
Te2 0.000 0.500 0.000 1
Te3 0.500 0.000 0.000 1
# * SG: No. 221
# * DOS at the Fermi energy: 3.6 states/eV/f.u.
# * E_form (uncorrected): 6.20 eV/f.u.



5.
# SiTcTe2 | the Alexandria database | PBE-GGA | optimized geometry
data_SiTcTe2
_symmetry_space_group_name_H-M 'P 1'
_symmetry_Int_Tables_number 1
_symmetry_space_group_name_Hall 'P 1'
_cell_length_a 5.145
_cell_length_b 5.145
_cell_length_c 5.145
_cell_angle_alpha 129.07
_cell_angle_beta 129.07
_cell_angle_gamma 74.90
loop_
_atom_site_label
_atom_site_fract_x
_atom_site_fract_y
_atom_site_fract_z
_atom_site_occupancy
Si1 0.000 0.000 0.000 1
Tc1 0.250 0.750 0.500 1
Te1 0.500 0.500 0.000 1
Te2 0.750 0.250 0.500 1
# * SG: No. 119
# * DOS at the Fermi energy: 2.3 states/eV/f.u.
# * E_form (uncorrected): 2.95 eV/f.u.



6.
# SiTcTe2 | the Alexandria database | PBE-GGA | optimized geometry
data_SiTcTe2
_symmetry_space_group_name_H-M 'P 1'
_symmetry_Int_Tables_number 1
_symmetry_space_group_name_Hall 'P 1'
_cell_length_a 3.500
_cell_length_b 4.451
_cell_length_c 5.376
_cell_angle_alpha 90.00
_cell_angle_beta 90.00
_cell_angle_gamma 90.00
loop_
_atom_site_label
_atom_site_fract_x
_atom_site_fract_y
_atom_site_fract_z
_atom_site_occupancy
Si1 0.000 0.000 0.000 1
Tc1 0.500 0.000 0.500 1
Te1 0.000 0.500 0.500 1
Te2 0.500 0.500 0.000 1
# * SG: No. 47
# * DOS at the Fermi energy: 4.4 states/eV/f.u.
# * E_form (uncorrected): 3.27 eV/f.u.



7.
# SiTcTe | the Alexandria database | PBE-GGA | optimized geometry
data_SiTcTe
_symmetry_space_group_name_H-M 'P 1'
_symmetry_Int_Tables_number 1
_symmetry_space_group_name_Hall 'P 1'
_cell_length_a 3.322
_cell_length_b 3.322
_cell_length_c 5.778
_cell_angle_alpha 90.00
_cell_angle_beta 90.00
_cell_angle_gamma 120.00
loop_
_atom_site_label
_atom_site_fract_x
_atom_site_fract_y
_atom_site_fract_z
_atom_site_occupancy
Si1 0.000 0.000 0.000 1
Tc1 0.667 0.333 0.270 1
Te1 0.333 0.667 0.608 1
# * SG: No. 156
# * DOS at the Fermi energy: 2.3 states/eV/f.u.
# * E_form (uncorrected): 0.39 eV/f.u.



8.
# SiTcTe2 | the Alexandria database | PBE-GGA | optimized geometry
data_SiTcTe2
_symmetry_space_group_name_H-M 'P 1'
_symmetry_Int_Tables_number 1
_symmetry_space_group_name_Hall 'P 1'
_cell_length_a 8.696
_cell_length_b 8.696
_cell_length_c 8.696
_cell_angle_alpha 24.25
_cell_angle_beta 24.25
_cell_angle_gamma 24.25
loop_
_atom_site_label
_atom_site_fract_x
_atom_site_fract_y
_atom_site_fract_z
_atom_site_occupancy
Si1 0.000 0.000 0.000 1
Tc1 0.500 0.500 0.500 1
Te1 0.400 0.400 0.400 1
Te2 0.600 0.600 0.600 1
# * SG: No. 166
# * DOS at the Fermi energy: 3.6 states/eV/f.u.
# * E_form (uncorrected): 3.50 eV/f.u.



9.
# Si4TcTe | the Alexandria database | PBE-GGA | optimized geometry
data_Si4TcTe
_symmetry_space_group_name_H-M 'P 1'
_symmetry_Int_Tables_number 1
_symmetry_space_group_name_Hall 'P 1'
_cell_length_a 5.192
_cell_length_b 5.192
_cell_length_c 5.192
_cell_angle_alpha 60.00
_cell_angle_beta 60.00
_cell_angle_gamma 60.00
loop_
_atom_site_label
_atom_site_fract_x
_atom_site_fract_y
_atom_site_fract_z
_atom_site_occupancy
Si1 0.125 0.125 0.125 1
Si2 0.125 0.125 0.624 1
Si3 0.125 0.624 0.125 1
Si4 0.624 0.125 0.125 1
Tc1 0.500 0.500 0.500 1
Te1 0.750 0.750 0.750 1
# * SG: No. 216
# * DOS at the Fermi energy: 6.0 states/eV/f.u.
# * E_form (uncorrected): 4.40 eV/f.u.



10.
# Th4SiTcTe2 | the Alexandria database | PBE-GGA | optimized geometry
data_Th4SiTcTe2
_symmetry_space_group_name_H-M 'P 1'
_symmetry_Int_Tables_number 1
_symmetry_space_group_name_Hall 'P 1'
_cell_length_a 7.526
_cell_length_b 4.226
_cell_length_c 7.858
_cell_angle_alpha 90.00
_cell_angle_beta 107.45
_cell_angle_gamma 90.00
loop_
_atom_site_label
_atom_site_fract_x
_atom_site_fract_y
_atom_site_fract_z
_atom_site_occupancy
Th1 0.224 0.000 0.204 1
Th2 0.250 0.500 0.794 1
Th3 0.750 0.500 0.206 1
Th4 0.776 0.000 0.796 1
Si1 0.500 0.000 0.000 1
Tc1 0.000 0.500 0.000 1
Te1 0.000 0.000 0.500 1
Te2 0.500 0.500 0.500 1
# * SG: No. 10
# * DOS at the Fermi energy: 6.8 states/eV/f.u.
# * E_form (uncorrected): -6.19 eV/f.u.



11.
# Th8Si3TcTe4 | the Alexandria database | PBE-GGA | optimized geometry
data_Th8Si3TcTe4
_symmetry_space_group_name_H-M 'P 1'
_symmetry_Int_Tables_number 1
_symmetry_space_group_name_Hall 'P 1'
_cell_length_a 8.922
_cell_length_b 8.922
_cell_length_c 8.922
_cell_angle_alpha 57.78
_cell_angle_beta 57.78
_cell_angle_gamma 57.78
loop_
_atom_site_label
_atom_site_fract_x
_atom_site_fract_y
_atom_site_fract_z
_atom_site_occupancy
Th1 0.238 0.238 0.238 1
Th2 0.248 0.730 0.730 1
Th3 0.270 0.270 0.752 1
Th4 0.270 0.752 0.270 1
Th5 0.730 0.248 0.730 1
Th6 0.730 0.730 0.248 1
Th7 0.752 0.270 0.270 1
Th8 0.762 0.762 0.762 1
Si1 0.000 0.000 0.500 1
Si2 0.000 0.500 0.000 1
Si3 0.500 0.000 0.000 1
Tc1 0.500 0.500 0.500 1
Te1 0.000 0.000 0.000 1
Te2 0.000 0.500 0.500 1
Te3 0.500 0.000 0.500 1
Te4 0.500 0.500 0.000 1
# * SG: No. 166
# * DOS at the Fermi energy: 11.7 states/eV/f.u.
# * E_form (uncorrected): -14.04 eV/f.u.



12.
# Th8SiTc3Te4 | the Alexandria database | PBE-GGA | optimized geometry
data_Th8SiTc3Te4
_symmetry_space_group_name_H-M 'P 1'
_symmetry_Int_Tables_number 1
_symmetry_space_group_name_Hall 'P 1'
_cell_length_a 8.488
_cell_length_b 8.488
_cell_length_c 9.051
_cell_angle_alpha 117.98
_cell_angle_beta 117.98
_cell_angle_gamma 59.99
loop_
_atom_site_label
_atom_site_fract_x
_atom_site_fract_y
_atom_site_fract_z
_atom_site_occupancy
Th1 0.220 0.741 0.701 1
Th2 0.236 0.236 0.706 1
Th3 0.259 0.780 0.299 1
Th4 0.260 0.260 0.300 1
Th5 0.740 0.740 0.700 1
Th6 0.741 0.220 0.701 1
Th7 0.764 0.764 0.294 1
Th8 0.780 0.259 0.299 1
Si1 0.500 0.500 0.500 1
Tc1 0.000 0.000 0.500 1
Tc2 0.000 0.500 0.500 1
Tc3 0.500 0.000 0.500 1
Te1 0.000 0.000 0.000 1
Te2 0.000 0.500 0.000 1
Te3 0.500 0.000 0.000 1
Te4 0.500 0.500 0.000 1
# * SG: No. 12
# * DOS at the Fermi energy: 11.3 states/eV/f.u.
# * E_form (uncorrected): -11.18 eV/f.u.



13.
# V2SiTcTe | the Alexandria database | PBE-GGA | optimized geometry
data_V2SiTcTe
_symmetry_space_group_name_H-M 'P 1'
_symmetry_Int_Tables_number 1
_symmetry_space_group_name_Hall 'P 1'
_cell_length_a 4.821
_cell_length_b 4.821
_cell_length_c 5.122
_cell_angle_alpha 90.00
_cell_angle_beta 90.00
_cell_angle_gamma 90.00
loop_
_atom_site_label
_atom_site_fract_x
_atom_site_fract_y
_atom_site_fract_z
_atom_site_occupancy
V1 0.000 0.500 0.000 1
V2 0.500 0.000 0.000 1
Si1 0.000 0.000 0.500 1
Tc1 0.500 0.500 0.500 1
Te1 0.000 0.000 0.000 1
# * SG: No. 123
# * DOS at the Fermi energy: 6.1 states/eV/f.u.
# * E_form (uncorrected): 9.66 eV/f.u.



14.
# Zn2SiTcTe | the Alexandria database | PBE-GGA | optimized geometry
data_Zn2SiTcTe
_symmetry_space_group_name_H-M 'P 1'
_symmetry_Int_Tables_number 1
_symmetry_space_group_name_Hall 'P 1'
_cell_length_a 4.537
_cell_length_b 4.537
_cell_length_c 5.639
_cell_angle_alpha 90.00
_cell_angle_beta 90.00
_cell_angle_gamma 90.00
loop_
_atom_site_label
_atom_site_fract_x
_atom_site_fract_y
_atom_site_fract_z
_atom_site_occupancy
Zn1 0.000 0.500 0.000 1
Zn2 0.500 0.000 0.000 1
Si1 0.000 0.000 0.000 1
Tc1 0.500 0.500 0.500 1
Te1 0.000 0.000 0.500 1
# * SG: No. 123
# * DOS at the Fermi energy: 4.1 states/eV/f.u.
# * E_form (uncorrected): 4.90 eV/f.u.



15.
# Th2Si3Tc2 | the Alexandria database | PBE-GGA | optimized geometry
data_Th2Si3Tc2
_symmetry_space_group_name_H-M 'P 1'
_symmetry_Int_Tables_number 1
_symmetry_space_group_name_Hall 'P 1'
_cell_length_a 5.622
_cell_length_b 5.622
_cell_length_c 7.089
_cell_angle_alpha 114.42
_cell_angle_beta 114.42
_cell_angle_gamma 42.37
loop_
_atom_site_label
_atom_site_fract_x
_atom_site_fract_y
_atom_site_fract_z
_atom_site_occupancy
Th1 0.142 0.142 0.260 1
Th2 0.858 0.858 0.740 1
Si1 0.356 0.356 0.066 1
Si2 0.500 0.500 0.500 1
Si3 0.644 0.644 0.934 1
Tc1 0.128 0.128 0.711 1
Tc2 0.872 0.872 0.289 1
# * SG: No. 12
# * DOS at the Fermi energy: 6.0 states/eV/f.u.
# * E_form (uncorrected): -3.49 eV/f.u.



16.
# Th2SiTc2 | the Alexandria database | PBE-GGA | optimized geometry
data_Th2SiTc2
_symmetry_space_group_name_H-M 'P 1'
_symmetry_Int_Tables_number 1
_symmetry_space_group_name_Hall 'P 1'
_cell_length_a 5.825
_cell_length_b 5.825
_cell_length_c 7.913
_cell_angle_alpha 105.31
_cell_angle_beta 105.31
_cell_angle_gamma 56.80
loop_
_atom_site_label
_atom_site_fract_x
_atom_site_fract_y
_atom_site_fract_z
_atom_site_occupancy
Th1 0.001 0.703 0.858 1
Th2 0.297 0.999 0.642 1
Th3 0.703 0.001 0.358 1
Th4 0.999 0.297 0.142 1
Si1 0.406 0.594 0.250 1
Si2 0.594 0.406 0.750 1
Tc1 0.217 0.520 0.468 1
Tc2 0.480 0.783 0.032 1
Tc3 0.520 0.217 0.968 1
Tc4 0.783 0.480 0.532 1
# * SG: No. 15
# * DOS at the Fermi energy: 3.4 states/eV/f.u.
# * E_form (uncorrected): -1.94 eV/f.u.



17.
# Th2SiTc | the Alexandria database | PBE-GGA | optimized geometry
data_Th2SiTc
_symmetry_space_group_name_H-M 'P 1'
_symmetry_Int_Tables_number 1
_symmetry_space_group_name_Hall 'P 1'
_cell_length_a 4.089
_cell_length_b 5.923
_cell_length_c 5.923
_cell_angle_alpha 41.58
_cell_angle_beta 90.00
_cell_angle_gamma 90.00
loop_
_atom_site_label
_atom_site_fract_x
_atom_site_fract_y
_atom_site_fract_z
_atom_site_occupancy
Th1 0.000 0.000 0.000 1
Th2 0.500 0.277 0.277 1
Si1 0.000 0.702 0.702 1
Tc1 0.500 0.557 0.557 1
# * SG: No. 38
# * DOS at the Fermi energy: 4.9 states/eV/f.u.
# * E_form (uncorrected): -1.91 eV/f.u.



18.
# Th2Si2Tc | the Alexandria database | PBE-GGA | optimized geometry
data_Th2Si2Tc
_symmetry_space_group_name_H-M 'P 1'
_symmetry_Int_Tables_number 1
_symmetry_space_group_name_Hall 'P 1'
_cell_length_a 5.896
_cell_length_b 5.896
_cell_length_c 10.577
_cell_angle_alpha 117.75
_cell_angle_beta 117.75
_cell_angle_gamma 42.87
loop_
_atom_site_label
_atom_site_fract_x
_atom_site_fract_y
_atom_site_fract_z
_atom_site_occupancy
Th1 0.006 0.006 0.180 1
Th2 0.190 0.190 0.605 1
Th3 0.810 0.810 0.395 1
Th4 0.994 0.994 0.820 1
Si1 0.351 0.351 0.935 1
Si2 0.499 0.499 0.624 1
Si3 0.501 0.501 0.376 1
Si4 0.649 0.649 0.065 1
Tc1 0.275 0.275 0.123 1
Tc2 0.725 0.725 0.877 1
# * SG: No. 12
# * DOS at the Fermi energy: 4.7 states/eV/f.u.
# * E_form (uncorrected): -3.32 eV/f.u.



19.
# Th2Si4Tc5 | the Alexandria database | PBE-GGA | optimized geometry
data_Th2Si4Tc5
_symmetry_space_group_name_H-M 'P 1'
_symmetry_Int_Tables_number 1
_symmetry_space_group_name_Hall 'P 1'
_cell_length_a 8.408
_cell_length_b 7.426
_cell_length_c 5.726
_cell_angle_alpha 78.31
_cell_angle_beta 59.87
_cell_angle_gamma 41.83
loop_
_atom_site_label
_atom_site_fract_x
_atom_site_fract_y
_atom_site_fract_z
_atom_site_occupancy
Th1 0.132 0.132 0.868 1
Th2 0.868 0.868 0.132 1
Si1 0.216 0.515 0.485 1
Si2 0.485 0.784 0.216 1
Si3 0.515 0.216 0.784 1
Si4 0.784 0.485 0.515 1
Tc1 0.000 0.000 0.500 1
Tc2 0.250 0.250 0.250 1
Tc3 0.500 0.500 0.000 1
Tc4 0.500 0.500 0.500 1
Tc5 0.750 0.750 0.750 1
# * SG: No. 69
# * DOS at the Fermi energy: 9.9 states/eV/f.u.
# * E_form (uncorrected): -5.86 eV/f.u.



20.
# Th2Si2Tc | the Alexandria database | PBE-GGA | optimized geometry
data_Th2Si2Tc
_symmetry_space_group_name_H-M 'P 1'
_symmetry_Int_Tables_number 1
_symmetry_space_group_name_Hall 'P 1'
_cell_length_a 5.743
_cell_length_b 5.743
_cell_length_c 7.750
_cell_angle_alpha 100.13
_cell_angle_beta 100.13
_cell_angle_gamma 59.59
loop_
_atom_site_label
_atom_site_fract_x
_atom_site_fract_y
_atom_site_fract_z
_atom_site_occupancy
Th1 0.038 0.264 0.157 1
Th2 0.264 0.038 0.657 1
Th3 0.736 0.962 0.343 1
Th4 0.962 0.736 0.843 1
Si1 0.275 0.496 0.506 1
Si2 0.496 0.275 0.006 1
Si3 0.504 0.725 0.994 1
Si4 0.725 0.504 0.494 1
Tc1 0.349 0.651 0.250 1
Tc2 0.651 0.349 0.750 1
# * SG: No. 15
# * DOS at the Fermi energy: 3.8 states/eV/f.u.
# * E_form (uncorrected): -3.21 eV/f.u.